Entry 1:
Density functional theory data (PBE) for a geometry-optimized GeIrSe4 structure.

It has space group C2/m (No. 12), with a = 11.775 Å, b = 3.688 Å, c = 6.489 Å, α = 90.00°, β = 100.62° and γ = 90.00°. The distinct sites, in fractional coordinates, are Ge at (0.000, 0.000, 0.000), Ir at (0.000, 0.500, 0.500), Se at (0.115, 0.000, 0.377) and Se at (0.123, 0.500, 0.855).

The calculation puts the energy relative to the elements, uncorrected at -0.2623 eV per atom. The value obtained for the density of states at the Fermi level is 10.16 states/eV/cell. Its density is 6.96 g/cm³.



Entry 2:
Density functional theory data (PBE) for a geometry-optimized Co2SiIr structure.

It has space group I-4m2 (No. 119), with a = 3.712 Å, b = 3.712 Å, c = 6.931 Å, α = 90.00°, β = 90.00° and γ = 90.00°. The distinct sites, in fractional coordinates, are Co at (0.000, 0.000, 0.000), Co at (0.000, 0.500, 0.250), Si at (0.000, 0.000, 0.500) and Ir at (0.000, 0.500, 0.750).

The calculation puts the energy relative to the elements, uncorrected at -0.2802 eV per atom. The value obtained for the density of states at the Fermi level is 9.52 states/eV/cell. Its density is 11.76 g/cm³.



Entry 3:
Density functional theory data (PBE) for a geometry-optimized TlTcAs2 structure.

It has space group Imm2 (No. 44), with a = 3.117 Å, b = 3.281 Å, c = 16.988 Å, α = 90.00°, β = 90.00° and γ = 90.00°. The distinct sites, in fractional coordinates, are Tl at (0.000, 0.000, 0.000), Tc at (0.000, 0.500, 0.265), As at (0.000, 0.000, 0.652) and As at (0.000, 0.500, 0.835).

The value obtained for the density of states at the Fermi level is 6.32 states/eV/cell. Its density is 8.64 g/cm³. The formation energy is 0.0211 eV/atom.